# PBE-GGA Li2DyMgSn2, optimized geometry
# **DFT formation energy**: -47.6 kJ per mole of atoms
# **ρ**: 5.58 g cm⁻³
# **Total DFT energy (no corrections)**: -20.99 eV/cell
data_Li2DyMgSn2
_space_group_name_H-M_alt 'P 1'
_space_group_IT_number 1
_cell_length_a 4.683
_cell_length_b 4.683
_cell_length_c 6.870
_cell_angle_alpha 90.00
_cell_angle_beta 90.00
_cell_angle_gamma 120.00
loop_
_space_group_symop_operation_xyz
'x,y,z'
loop_
_atom_site_label
_atom_site_fract_x
_atom_site_fract_y
_atom_site_fract_z
Li1 0.333 0.667 0.688
Li2 0.667 0.333 0.312
Dy1 0.000 0.000 0.000
Mg1 0.000 0.000 0.500
Sn1 0.333 0.667 0.242
Sn2 0.667 0.333 0.758

# PBE-GGA LaSc2Se, optimized geometry
# **ρ**: 5.19 g cm⁻³
# **Total DFT energy (no corrections)**: -22.56 eV/cell
data_LaSc2Se
_space_group_name_H-M_alt 'P 1'
_space_group_IT_number 1
_cell_length_a 5.883
_cell_length_b 5.883
_cell_length_c 5.883
_cell_angle_alpha 135.53
_cell_angle_beta 135.53
_cell_angle_gamma 64.70
loop_
_space_group_symop_operation_xyz
'x,y,z'
loop_
_atom_site_label
_atom_site_fract_x
_atom_site_fract_y
_atom_site_fract_z
La1 0.750 0.250 0.500
Sc1 0.000 0.000 0.000
Sc2 0.250 0.750 0.500
Se1 0.500 0.500 0.000

no.,calculated volume (Å³/atom)
1,21.75
2,24.62